--- one ---
Density functional theory data (PBE) for crystalline Pm2Ni2Ge at its relaxed geometry.

Structure (POSCAR):
```
Pm2Ni2Ge
1.0
4.703 -2.738 0.000
4.703 2.738 0.000
-1.941 0.000 7.563
Pm Ni Ge
4 4 2
direct
0.009 0.290 0.151
0.290 0.009 0.651
0.710 0.991 0.349
0.991 0.710 0.849
0.234 0.499 0.501
0.499 0.234 0.001
0.501 0.766 0.999
0.766 0.501 0.499
0.351 0.649 0.250
0.649 0.351 0.750
```

V ... 194.8 Å³ per cell
SG ... C2/c

***

--- two ---
Density functional theory data (PBE) for crystalline Pm2Ni2Ge at its relaxed geometry.

Structure (POSCAR):
```
Pm2Ni2Ge
1.0
5.255 -2.076 0.000
5.255 2.076 0.000
-4.962 0.000 9.283
Pm Ni Ge
4 4 2
direct
0.008 0.008 0.337
0.192 0.192 0.110
0.808 0.808 0.890
0.992 0.992 0.663
0.354 0.354 0.443
0.496 0.496 0.114
0.504 0.504 0.886
0.646 0.646 0.557
0.277 0.277 0.649
0.723 0.723 0.351
```

V ... 202.5 Å³ per cell
SG ... C2/m

***

Stability, highest: one

***

--- one ---
Density functional theory data (PBE) for crystalline Pm3Ni2Ge4 at its relaxed geometry.

Structure (POSCAR):
```
Pm3Ni2Ge4
1.0
5.416 -2.128 0.000
5.416 2.128 0.000
-2.490 0.000 7.897
Pm Ni Ge
3 2 4
direct
0.000 0.000 0.000
0.377 0.377 0.310
0.623 0.623 0.690
0.314 0.314 0.644
0.686 0.686 0.356
0.102 0.102 0.402
0.288 0.288 0.924
0.712 0.712 0.076
0.898 0.898 0.598
```

V ... 182.0 Å³ per cell
SG ... C2/m

***

--- two ---
Density functional theory data (PBE) for crystalline Pm3Ni2Ge4 at its relaxed geometry.

Structure (POSCAR):
```
Pm3Ni2Ge4
1.0
5.502 -2.092 0.000
5.502 2.092 0.000
-1.547 0.000 8.131
Pm Ni Ge
3 2 4
direct
0.000 0.000 0.000
0.338 0.338 0.339
0.662 0.662 0.661
0.394 0.394 0.718
0.606 0.606 0.282
0.060 0.060 0.380
0.281 0.281 0.929
0.719 0.719 0.071
0.940 0.940 0.620
```

V ... 187.2 Å³ per cell
SG ... C2/m

***

Stability, highest: two

***

--- one ---
Density functional theory data (PBE) for crystalline Pm2Ni5Ge3 at its relaxed geometry.

Structure (POSCAR):
```
Pm2Ni5Ge3
1.0
2.042 -11.773 0.000
2.042 11.773 0.000
0.000 0.000 6.901
Pm Ni Ge
4 10 6
direct
0.052 0.948 0.500
0.339 0.661 0.678
0.661 0.339 0.178
0.948 0.052 0.000
0.070 0.930 0.076
0.207 0.793 0.563
0.232 0.768 0.941
0.353 0.647 0.133
0.438 0.562 0.339
0.562 0.438 0.839
0.647 0.353 0.633
0.768 0.232 0.441
0.793 0.207 0.063
0.930 0.070 0.576
0.136 0.864 0.826
0.258 0.742 0.264
0.471 0.529 0.675
0.529 0.471 0.175
0.742 0.258 0.764
0.864 0.136 0.326
```

V ... 331.8 Å³ per cell
SG ... Cmc2_1

***

--- two ---
Density functional theory data (PBE) for crystalline Pm2Ni5Ge3 at its relaxed geometry.

Structure (POSCAR):
```
Pm2Ni5Ge3
1.0
-4.783 5.941 2.876
4.783 -5.941 2.876
4.783 5.941 -2.876
Pm Ni Ge
4 10 6
direct
0.130 0.243 0.372
0.370 0.743 0.113
0.630 0.257 0.887
0.870 0.757 0.628
0.020 0.750 0.270
0.130 0.886 0.015
0.250 0.750 0.500
0.370 0.386 0.756
0.480 0.750 0.730
0.520 0.250 0.270
0.630 0.614 0.244
0.750 0.250 0.500
0.870 0.114 0.985
0.980 0.250 0.730
0.116 0.639 0.755
0.250 0.250 0.000
0.384 0.139 0.523
0.616 0.861 0.477
0.750 0.750 0.000
0.884 0.361 0.245
```

V ... 326.8 Å³ per cell
SG ... Ibam

***

Stability, highest: two